# CoP2SF (GGA+U, optimized geometry)
# * offset from the most stable computed form: 345 meV per atom
# * E_tot: -3.523 eV per atom
data_CoP2SF
_cell_length_a 4.025
_cell_length_b 4.025
_cell_length_c 5.261
_cell_angle_alpha 90.00
_cell_angle_beta 90.00
_cell_angle_gamma 90.00
_symmetry_space_group_name_H-M 'P 1'
_symmetry_Int_Tables_number 1
loop_
_symmetry_equiv_pos_as_xyz
'x,y,z'
loop_
_atom_site_label
_atom_site_type_symbol
_atom_site_fract_x
_atom_site_fract_y
_atom_site_fract_z
P1 P 0.000 0.500 0.000
P2 P 0.500 0.000 0.000
S1 S 0.000 0.000 0.500
Co1 Co 0.500 0.500 0.500
F1 F 0.000 0.000 0.000